# Er2ScAl3Si2Pd

Crystalline Er2ScAl3Si2Pd at its relaxed geometry (GGA-PBE, OQMD).

Calculated values
The calculation puts the total energy at -99.70 eV for the cell shown. The total magnetization is 0.0 μB per formula unit.

Cell: 4.175 11.664 6.800 Å, 90.00 90.00 90.00°
Space group Amm2 (No. 38)
Unique sites:
Er 0.000 0.209 0.000
Sc 0.000 0.000 0.370
Al 0.500 0.000 0.030
Al 0.500 0.120 0.666
Si 0.500 0.162 0.291
Pd 0.000 0.000 0.779